(1)
Compound: NpPd3Pt
Source: Alexandria via LeMat-Bulk
Functional: GGA-PBE
Structure: optimized geometry

Calculated values
Excess energy over the best structure of this formula in the dataset: 45 meV per atom
Magnetization: 3.230 μB/f.u.
Calculated volume: 19.00 Å³/atom
E_form: -0.023 eV/atom

Geometry as POSCAR:
```
NpPd3Pt
1.0
-2.565 3.795 4.881
2.565 -3.795 4.881
2.565 3.795 -4.881
Np Pd Pt
2 6 2
Direct
0.251 0.001 0.250 Np
0.749 0.999 0.750 Np
0.156 0.220 0.936 Pd
0.215 0.780 0.436 Pd
0.500 0.000 0.000 Pd
0.500 0.500 0.500 Pd
0.785 0.220 0.564 Pd
0.844 0.780 0.064 Pd
0.000 0.500 0.500 Pt
0.500 0.500 0.000 Pt
```

(2)
Compound: NpPd4Pt2
Source: Alexandria via LeMat-Bulk
Functional: GGA-PBE
Structure: optimized geometry

Calculated values
Magnetization: 3.565 μB/f.u.
Calculated volume: 17.32 Å³/atom
E_form: -0.028 eV/atom

Geometry as POSCAR:
```
NpPd4Pt2
1.0
4.655 0.000 0.000
0.000 18.714 0.000
0.000 0.000 2.784
Np Pd Pt
2 8 4
Direct
0.000 0.000 0.000 Np
0.500 0.500 0.000 Np
0.000 0.137 0.500 Pd
0.000 0.416 0.000 Pd
0.000 0.584 0.000 Pd
0.000 0.863 0.500 Pd
0.500 0.084 0.000 Pd
0.500 0.363 0.500 Pd
0.500 0.637 0.500 Pd
0.500 0.916 0.000 Pd
0.000 0.283 0.500 Pt
0.000 0.717 0.500 Pt
0.500 0.217 0.500 Pt
0.500 0.783 0.500 Pt
```

(3)
Compound: Np2Pd7Pt3
Source: Alexandria via LeMat-Bulk
Functional: GGA-PBE
Structure: optimized geometry

Calculated values
Magnetization: 7.005 μB/f.u.
Calculated volume: 17.52 Å³/atom
E_form: -0.125 eV/atom

Geometry as POSCAR:
```
Np2Pd7Pt3
1.0
4.598 0.000 0.000
0.000 2.849 0.000
-2.198 0.000 16.053
Np Pd Pt
2 7 3
Direct
0.148 0.000 0.291 Np
0.852 0.000 0.709 Np
0.088 0.500 0.856 Pd
0.229 0.000 0.456 Pd
0.424 0.000 0.155 Pd
0.500 0.500 0.000 Pd
0.576 0.000 0.845 Pd
0.771 0.000 0.544 Pd
0.912 0.500 0.144 Pd
0.000 0.000 0.000 Pt
0.306 0.500 0.618 Pt
0.694 0.500 0.382 Pt
```

(4)
Compound: Np2Pd9Pt
Source: Alexandria via LeMat-Bulk
Functional: GGA-PBE
Structure: optimized geometry

Calculated values
Magnetization: 6.086 μB/f.u.
Calculated volume: 16.95 Å³/atom
E_form: -0.301 eV/atom

Geometry as POSCAR:
```
Np2Pd9Pt
1.0
4.102 0.000 0.000
0.000 4.102 0.000
0.000 0.000 12.088
Np Pd Pt
2 9 1
Direct
0.000 0.000 0.177 Np
0.000 0.000 0.823 Np
0.000 0.500 0.000 Pd
0.000 0.500 0.338 Pd
0.000 0.500 0.662 Pd
0.500 0.000 0.000 Pd
0.500 0.000 0.338 Pd
0.500 0.000 0.662 Pd
0.500 0.500 0.168 Pd
0.500 0.500 0.500 Pd
0.500 0.500 0.832 Pd
0.000 0.000 0.500 Pt
```

(5)
Compound: Np2PdPt
Source: Alexandria via LeMat-Bulk
Functional: GGA-PBE
Structure: optimized geometry

Calculated values
Magnetization: 8.482 μB/f.u.
Calculated volume: 21.29 Å³/atom
E_form: -0.231 eV/atom

Geometry as POSCAR:
```
Np2PdPt
1.0
4.960 0.000 0.000
0.000 4.960 0.000
0.000 0.000 3.461
Np Pd Pt
2 1 1
Direct
0.000 0.500 0.000 Np
0.500 0.000 0.000 Np
0.000 0.000 0.500 Pd
0.500 0.500 0.500 Pt
```

(6)
Compound: NpPdPt4
Source: Alexandria via LeMat-Bulk
Functional: GGA-PBE
Structure: optimized geometry

Calculated values
Magnetization: 2.521 μB/f.u.
Calculated volume: 17.75 Å³/atom
E_form: -0.457 eV/atom

Geometry as POSCAR:
```
NpPdPt4
1.0
0.000 3.762 3.762
3.762 0.000 3.762
3.762 3.762 0.000
Np Pd Pt
1 1 4
Direct
0.000 0.000 0.000 Np
0.750 0.750 0.750 Pd
0.375 0.375 0.375 Pt
0.375 0.375 0.874 Pt
0.375 0.874 0.375 Pt
0.874 0.375 0.375 Pt
```

(7)
Compound: Np2PdPt9
Source: Alexandria via LeMat-Bulk
Functional: GGA-PBE
Structure: optimized geometry

Calculated values
Magnetization: 5.237 μB/f.u.
Calculated volume: 17.11 Å³/atom
E_form: -0.410 eV/atom

Geometry as POSCAR:
```
Np2PdPt9
1.0
4.108 0.000 0.000
0.000 4.108 0.000
0.000 0.000 12.166
Np Pd Pt
2 1 9
Direct
0.000 0.000 0.176 Np
0.000 0.000 0.824 Np
0.000 0.000 0.500 Pd
0.000 0.500 0.000 Pt
0.000 0.500 0.338 Pt
0.000 0.500 0.662 Pt
0.500 0.000 0.000 Pt
0.500 0.000 0.338 Pt
0.500 0.000 0.662 Pt
0.500 0.500 0.168 Pt
0.500 0.500 0.500 Pt
0.500 0.500 0.832 Pt
```

(8)
Compound: NpPdPtRh
Source: Alexandria via LeMat-Bulk
Functional: GGA-PBE
Structure: optimized geometry

Calculated values
Excess energy over the best structure of this formula in the dataset: 0 meV per atom
Magnetization: 2.535 μB/f.u.
Calculated volume: 17.21 Å³/atom
E_form: -0.524 eV/atom

Geometry as POSCAR:
```
NpPdPtRh
1.0
4.015 0.000 0.000
0.000 4.023 0.000
0.000 0.000 4.261
Np Pd Pt Rh
1 1 1 1
Direct
0.000 0.000 0.000 Np
0.000 0.500 0.500 Pd
0.500 0.000 0.500 Pt
0.500 0.500 0.000 Rh
```